(1)
Computed, not measured: crystalline GeH2Br2 at its relaxed geometry at the PBE level of DFT.

Cell lengths 4.0500, 4.0500, 10.6631 Å; angles 90.00, 90.00, 120.00 degrees
Space group P-3m1 (No. 164)
Symmetry-distinct sites (fractional):
1 Ge 0.0000 0.0000 0.0000
2 H 0.3333 0.6667 0.6256
3 Br 0.3333 0.6667 0.1518

Energy above the most stable polymorph in this dataset, eV/atom: 0.615
Crystal system: trigonal

---

(2)
Computed, not measured: crystalline Ge2HBr at its relaxed geometry at the PBE level of DFT.

Cell lengths 6.730, 6.730, 6.730 Å; angles 90.00, 90.00, 90.00 degrees
Space group Fm-3m (No. 225)
Symmetry-distinct sites (fractional):
1 Ge 0.250 0.250 0.250
2 H 0.000 0.000 0.000
3 Br 0.000 0.000 0.500

Energy above the most stable polymorph in this dataset, eV/atom: 0.392
Crystal system: cubic

---

(3)
Computed, not measured: crystalline GeHBr2 at its relaxed geometry at the PBE level of DFT.

Cell lengths 3.984, 20.342, 5.653 Å; angles 90.00, 90.00, 90.00 degrees
Space group Cmcm (No. 63)
Symmetry-distinct sites (fractional):
1 Ge 0.000 0.184 0.250
2 H 0.000 0.042 0.750
3 Br 0.000 0.202 0.750
4 Br 0.000 0.403 0.750

Energy above the most stable polymorph in this dataset, eV/atom: 0.112
Crystal system: orthorhombic

---

(4)
Computed, not measured: crystalline GeHBr at its relaxed geometry at the PBE level of DFT.

Cell lengths 5.094, 4.087, 6.936 Å; angles 90.00, 93.48, 90.00 degrees
Space group P2_1 (No. 4)
Symmetry-distinct sites (fractional):
1 Ge 0.096 0.000 0.179
2 H 0.118 0.689 0.004
3 Br 0.277 0.200 0.693

Energy above the most stable polymorph in this dataset, eV/atom: 0.000
Crystal system: monoclinic

---

(5)
Computed, not measured: crystalline InGeHBr2 at its relaxed geometry at the PBE level of DFT.

Cell lengths 5.686, 5.686, 3.602 Å; angles 90.00, 90.00, 90.00 degrees
Space group P4/mmm (No. 123)
Symmetry-distinct sites (fractional):
1 In 0.000 0.000 0.000
2 Ge 0.500 0.500 0.000
3 H 0.500 0.500 0.500
4 Br 0.000 0.500 0.500

DFT total energy, eV/atom: -2.842
Crystal system: tetragonal

---

(6)
Computed, not measured: crystalline La8Ge3HBr4 at its relaxed geometry at the PBE level of DFT.

Cell lengths 8.6710, 8.6710, 21.6081 Å; angles 90.00, 90.00, 120.00 degrees
Space group R-3m (No. 166, hexagonal axes)
Symmetry-distinct sites (fractional):
1 La 0.0000 0.0000 0.2425
2 La 0.0023 0.5012 0.2410
3 Ge 0.0000 0.5000 0.5000
4 H 0.0000 0.0000 0.5000
5 Br 0.0000 0.0000 0.0000
6 Br 0.0000 0.5000 0.0000

DFT total energy, eV/atom: -5.044
Crystal system: trigonal

---

(7)
Computed, not measured: crystalline La6Ge2HBr3 at its relaxed geometry at the PBE level of DFT.

Cell lengths 7.417, 12.770, 7.696 Å; angles 90.00, 109.19, 90.00 degrees
Space group C2/m (No. 12)
Symmetry-distinct sites (fractional):
1 La 0.232 0.161 0.216
2 La 0.247 0.500 0.234
3 Ge 0.000 0.336 0.000
4 H 0.000 0.000 0.000
5 Br 0.000 0.181 0.500
6 Br 0.000 0.500 0.500

DFT total energy, eV/atom: -4.974
Crystal system: monoclinic

---

(8)
Computed, not measured: crystalline La4GeHBr2 at its relaxed geometry at the PBE level of DFT.

Cell lengths 7.227, 4.164, 7.753 Å; angles 90.00, 106.85, 90.00 degrees
Space group P2/m (No. 10)
Symmetry-distinct sites (fractional):
1 La 0.227 0.000 0.215
2 La 0.239 0.500 0.791
3 Ge 0.500 0.000 0.000
4 H 0.000 0.500 0.000
5 Br 0.000 0.000 0.500
6 Br 0.500 0.500 0.500

DFT total energy, eV/atom: -4.843
Crystal system: monoclinic

---

(9)
Computed, not measured: crystalline Na2GeHBr5 at its relaxed geometry at the PBE level of DFT.

Cell lengths 4.139, 19.709, 12.600 Å; angles 90.00, 90.00, 90.00 degrees
Space group Cmc2_1 (No. 36)
Symmetry-distinct sites (fractional):
1 Na 0.000 0.149 0.000
2 Na 0.000 0.154 0.328
3 Ge 0.000 0.178 0.666
4 H 0.000 0.481 0.034
5 Br 0.000 0.052 0.673
6 Br 0.000 0.308 0.324
7 Br 0.000 0.312 0.005
8 Br 0.000 0.351 0.666
9 Br 0.000 0.491 0.427

DFT total energy, eV/atom: -2.999
Crystal system: orthorhombic

---

(10)
Computed, not measured: crystalline GeH2PbBr at its relaxed geometry at the PBE level of DFT.

Cell lengths 4.201, 4.201, 6.294 Å; angles 90.00, 90.00, 90.00 degrees
Space group P4/mmm (No. 123)
Symmetry-distinct sites (fractional):
1 Ge 0.000 0.000 0.000
2 H 0.000 0.500 0.500
3 Pb 0.500 0.500 0.500
4 Br 0.500 0.500 0.000

DFT total energy, eV/atom: -2.870
Crystal system: tetragonal

---

(11)
Computed, not measured: crystalline Pr8Ge3HBr4 at its relaxed geometry at the PBE level of DFT.

Cell lengths 8.4520, 8.4520, 22.1426 Å; angles 90.00, 90.00, 120.00 degrees
Space group R-3m (No. 166, hexagonal axes)
Symmetry-distinct sites (fractional):
1 Pr 0.0000 0.0000 0.2394
2 Pr 0.0091 0.5045 0.2371
3 Ge 0.0000 0.5000 0.5000
4 H 0.0000 0.0000 0.5000
5 Br 0.0000 0.0000 0.0000
6 Br 0.0000 0.5000 0.0000

DFT total energy, eV/atom: -4.892
Crystal system: trigonal

---

(12)
Computed, not measured: crystalline Rb2GeHBr6 at its relaxed geometry at the PBE level of DFT.

Cell lengths 7.094, 7.094, 11.833 Å; angles 90.00, 90.00, 90.00 degrees
Space group I4/mmm (No. 139)
Symmetry-distinct sites (fractional):
1 Rb 0.000 0.500 0.250
2 Ge 0.000 0.000 0.000
3 H 0.000 0.000 0.500
4 Br 0.000 0.000 0.221
5 Br 0.242 0.242 0.500

DFT total energy, eV/atom: -2.747
Crystal system: tetragonal

---

(13)
Computed, not measured: crystalline ScGeHBr2 at its relaxed geometry at the PBE level of DFT.

Cell lengths 5.206, 5.206, 3.534 Å; angles 90.00, 90.00, 90.00 degrees
Space group P4/mmm (No. 123)
Symmetry-distinct sites (fractional):
1 Sc 0.000 0.000 0.000
2 Ge 0.500 0.500 0.000
3 H 0.500 0.500 0.500
4 Br 0.000 0.500 0.500

DFT total energy, eV/atom: -3.586
Crystal system: tetragonal

---

(14)
Computed, not measured: crystalline GeHSe2Br at its relaxed geometry at the PBE level of DFT.

Cell lengths 5.022, 5.022, 5.431 Å; angles 90.00, 90.00, 90.00 degrees
Space group P4/mmm (No. 123)
Symmetry-distinct sites (fractional):
1 Ge 0.000 0.000 0.000
2 H 0.500 0.500 0.500
3 Se 0.000 0.500 0.000
4 Br 0.000 0.000 0.500

Energy above the most stable polymorph in this dataset, eV/atom: 0.338
Crystal system: tetragonal

---

(15)
Computed, not measured: crystalline GeHSe2Br at its relaxed geometry at the PBE level of DFT.

Cell lengths 4.079, 4.079, 5.906 Å; angles 90.00, 90.00, 90.00 degrees
Space group P4/mmm (No. 123)
Symmetry-distinct sites (fractional):
1 Ge 0.000 0.000 0.000
2 H 0.500 0.500 0.500
3 Se 0.000 0.500 0.500
4 Br 0.500 0.500 0.000

Energy above the most stable polymorph in this dataset, eV/atom: 0.000
Crystal system: tetragonal

---

(16)
Computed, not measured: crystalline SrGe2HBr at its relaxed geometry at the PBE level of DFT.

Cell lengths 6.200, 6.200, 5.938 Å; angles 90.00, 90.00, 90.00 degrees
Space group P4/mmm (No. 123)
Symmetry-distinct sites (fractional):
1 Sr 0.000 0.000 0.000
2 Ge 0.000 0.500 0.000
3 H 0.500 0.500 0.500
4 Br 0.000 0.000 0.500

DFT total energy, eV/atom: -2.293
Crystal system: tetragonal

---

(17)
Computed, not measured: crystalline YGeH2Br at its relaxed geometry at the PBE level of DFT.

Cell lengths 4.170, 4.170, 6.200 Å; angles 90.00, 90.00, 90.00 degrees
Space group P4/mmm (No. 123)
Symmetry-distinct sites (fractional):
1 Y 0.000 0.000 0.000
2 Ge 0.000 0.000 0.500
3 H 0.000 0.500 0.000
4 Br 0.500 0.500 0.500

DFT total energy, eV/atom: -4.077
Crystal system: tetragonal

---

(18)
Computed, not measured: crystalline HfGeBr at its relaxed geometry at the PBE level of DFT.

Cell lengths 4.431, 6.141, 7.279 Å; angles 66.57, 72.31, 69.10 degrees
Space group P-1 (No. 2)
Symmetry-distinct sites (fractional):
1 Hf 0.127 0.061 0.185
2 Ge 0.386 0.712 0.014
3 Br 0.130 0.697 0.545

E_form (uncorrected), eV per atom: -0.36
Crystal system: triclinic

---

(19)
Computed, not measured: crystalline Hf2GeBr at its relaxed geometry at the PBE level of DFT.

Cell lengths 5.985, 5.985, 12.224 Å; angles 90.00, 90.00, 90.00 degrees
Space group I-42d (No. 122)
Symmetry-distinct sites (fractional):
1 Hf 0.232 0.250 0.125
2 Ge 0.000 0.000 0.000
3 Br 0.000 0.000 0.500

Energy above the most stable polymorph in this dataset, eV/atom: 0.620
E_form (uncorrected), eV per atom: 0.35
Crystal system: tetragonal

---

(20)
Computed, not measured: crystalline HfGe3Br at its relaxed geometry at the PBE level of DFT.

Cell lengths 4.993, 4.993, 4.993 Å; angles 90.00, 90.00, 90.00 degrees
Space group Pm-3m (No. 221)
Symmetry-distinct sites (fractional):
1 Hf 0.000 0.000 0.000
2 Ge 0.000 0.500 0.500
3 Br 0.500 0.500 0.500

Energy above the most stable polymorph in this dataset, eV/atom: 0.595
E_form (uncorrected), eV per atom: 1.05
Crystal system: cubic

---

(21)
Computed, not measured: crystalline Hf3GeBr at its relaxed geometry at the PBE level of DFT.

Cell lengths 5.055, 5.055, 5.055 Å; angles 90.00, 90.00, 90.00 degrees
Space group Pm-3m (No. 221)
Symmetry-distinct sites (fractional):
1 Hf 0.000 0.000 0.500
2 Ge 0.000 0.000 0.000
3 Br 0.500 0.500 0.500

Energy above the most stable polymorph in this dataset, eV/atom: 0.000
E_form (uncorrected), eV per atom: 0.70
Crystal system: cubic

---

(22)
Computed, not measured: crystalline Hf2GeBr at its relaxed geometry at the PBE level of DFT.

Cell lengths 6.758, 6.758, 6.758 Å; angles 90.00, 90.00, 90.00 degrees
Space group Fm-3m (No. 225)
Symmetry-distinct sites (fractional):
1 Hf 0.250 0.250 0.250
2 Ge 0.000 0.000 0.000
3 Br 0.000 0.000 0.500

Energy above the most stable polymorph in this dataset, eV/atom: 0.000
E_form (uncorrected), eV per atom: -0.27
Crystal system: cubic

---

(23)
Computed, not measured: crystalline HfGe3Br at its relaxed geometry at the PBE level of DFT.

Cell lengths 5.280, 5.280, 5.280 Å; angles 90.00, 90.00, 90.00 degrees
Space group Pm-3m (No. 221)
Symmetry-distinct sites (fractional):
1 Hf 0.000 0.000 0.000
2 Ge 0.000 0.000 0.500
3 Br 0.500 0.500 0.500

Energy above the most stable polymorph in this dataset, eV/atom: 0.000
E_form (uncorrected), eV per atom: 0.46
Crystal system: cubic

---

(24)
Computed, not measured: crystalline HfHgGeBr2 at its relaxed geometry at the PBE level of DFT.

Cell lengths 5.309, 5.309, 5.775 Å; angles 90.00, 90.00, 90.00 degrees
Space group P4/mmm (No. 123)
Symmetry-distinct sites (fractional):
1 Hf 0.000 0.000 0.000
2 Hg 0.000 0.000 0.500
3 Ge 0.500 0.500 0.000
4 Br 0.000 0.500 0.500

E_form (uncorrected), eV per atom: 0.89
Crystal system: tetragonal

---

(25)
Computed, not measured: crystalline HfGeP2Br at its relaxed geometry at the PBE level of DFT.

Cell lengths 4.801, 4.801, 5.033 Å; angles 90.00, 90.00, 90.00 degrees
Space group P4/mmm (No. 123)
Symmetry-distinct sites (fractional):
1 Hf 0.000 0.000 0.000
2 Ge 0.500 0.500 0.000
3 P 0.000 0.500 0.500
4 Br 0.000 0.000 0.500

E_form (uncorrected), eV per atom: 1.27
Crystal system: tetragonal

---

(26)
Computed, not measured: crystalline Hf2GeRhBr at its relaxed geometry at the PBE level of DFT.

Cell lengths 5.066, 5.066, 4.831 Å; angles 90.00, 90.00, 90.00 degrees
Space group P4/mmm (No. 123)
Symmetry-distinct sites (fractional):
1 Hf 0.000 0.500 0.000
2 Ge 0.000 0.000 0.000
3 Rh 0.500 0.500 0.500
4 Br 0.000 0.000 0.500

E_form (uncorrected), eV per atom: 0.99
Crystal system: tetragonal

---

| no. | magnetization (μB per formula unit) |
| --- | --- |
| 1 | 1.971 |
| 2 | 0.000 |
| 3 | 0.995 |
| 4 | 0.000 |
| 5 | 0.000 |
| 6 | 0.000 |
| 7 | 1.155 |
| 8 | 0.005 |
| 9 | 0.000 |
| 10 | 1.017 |
| 11 | 0.000 |
| 12 | 0.000 |
| 13 | 0.000 |
| 14 | 0.324 |
| 15 | 0.000 |
| 16 | 3.071 |
| 17 | 0.000 |
| 18 | 0.000 |
| 19 | 0.000 |
| 20 | 0.000 |
| 21 | 0.000 |
| 22 | 0.000 |
| 23 | 0.000 |
| 24 | 0.000 |
| 25 | 0.000 |
| 26 | 0.000 |